Record 1
Mg3Ge (PBE, optimized geometry); D(E_F) = 0.317 states/eV per atom; formation enthalpy at 0 K = -0.29 eV per formula unit; calculated density = 3.0 g/cm3; raw total energy = -2.422 eV per atom; V = 20.5 A^3/atom
1.0
-4.241 0.259 -0.774
0.557 -2.077 -3.746
1.236 -2.928 4.297
Ge Mg
1 3
Cartesian
0.000 0.000 0.000 Ge
-2.424 -1.789 0.632 Mg
-0.025 -2.957 -0.854 Mg
-1.842 -0.909 -2.260 Mg



Record 2
CaNbOF2 (PBE, optimized geometry); D(E_F) = 0.573 states/eV per atom; calculated density = 3.9 g/cm3; raw total energy = -6.258 eV per atom; raw formation energy = -2104 meV per atom; V = 15.9 A^3/atom
1.0
-3.987 -1.439 1.297
-0.339 -2.405 -3.709
1.740 -3.133 1.872
Nb Ca O F
1 1 1 2
Cartesian
0.000 0.000 0.000 Nb
-1.293 -3.488 -0.270 Ca
0.870 -1.566 0.936 O
-0.170 -1.202 -1.854 F
-1.994 -0.719 0.649 F